(1)
Material: RbLiFeAg2
Method: DFT, GGA-PBE
State: optimized geometry

Calculated values
theoretical density = 4.0 Mg/m³
ΔE_f = 0.80 eV/atom

Unit cell a=5.0794 b=5.0794 c=5.7900 alpha=90.00 beta=90.00 gamma=90.00
Closest atoms and distances in Å follow each position.
Space group P4/mmm (No. 123)
Asymmetric unit:
Rb: 0.0000 0.0000 0.0000  2 Fe 2.89
Li: 0.5000 0.5000 0.0000  4 Rb 3.59, 8 Ag 3.85
Fe: 0.0000 0.0000 0.5000  4 Ag 2.54
Ag: 0.0000 0.5000 0.5000  2 Fe 2.54

=====

(2)
Material: SrAlN2
Method: DFT, GGA-PBE
State: optimized geometry

Calculated values
formation energy without anion corrections = -28 meV/atom
theoretical density = 2.9 Mg/m³

Unit cell a=3.8965 b=3.8965 c=18.6548 alpha=90.00 beta=90.00 gamma=120.00
Closest atoms and distances in Å follow each position.
Space group R-3m (No. 166, hexagonal axes)
Asymmetric unit:
Sr: 0.0000 0.0000 0.0000  6 N 2.63
Al: 0.0000 0.0000 0.5000  2 N 1.75
N: 0.0000 0.0000 0.4060  1 Al 1.75

=====

(3)
Material: Tm6AgSb2
Method: DFT, GGA-PBE
State: optimized geometry

Calculated values
formation energy without anion corrections = -459 meV/atom
theoretical density = 9.1 Mg/m³

Unit cell a=6.3106 b=7.9867 c=11.6985 alpha=90.00 beta=121.94 gamma=90.00
Closest atoms and distances in Å follow each position.
Space group P2_1/c (No. 14)
Asymmetric unit:
Tm: 0.0839 0.0349 0.2320  1 Ag 2.84, 1 Sb 3.12
Tm: 0.1647 0.7021 0.0491  1 Ag 2.95, 3 Sb 3.11-3.27
Tm: 0.4124 0.1606 0.0457  1 Ag 2.87, 2 Sb 3.08-3.10, 1 Tm 3.19
Ag: 0.5000 0.0000 0.5000  6 Tm 2.84-2.95
Sb: 0.3422 0.1183 0.7410  8 Tm 3.08-3.37

=====

Record-wise magnetization values, in μB per formula unit: 2.80 1.00 0.00
Record-wise calculated volume values, in Å³ per cell: 149 245 500